The following is a GGA-PBE calculation of a geometry-optimized MnBeOs2 structure, from Alexandria.

* magnetization: 3.06 Bohr magnetons per cell
* DFT formation energy: 0.1949 eV/atom
* E: -0.63532 Ry/atom

Lattice parameters (Å, degrees): 2.6612 2.6612 8.0164 90.00 90.00 115.16
With the nearest neighbours (Å) after each atom.
Atoms (fractional coordinates):
Mn1 0.0000 0.0000 0.0000  4 Os 2.56, 6 Mn 2.66-2.85
Be1 0.0000 0.0000 0.5000  4 Os 2.36
Os1 0.5000 0.5000 0.2652  2 Be 2.36, 2 Mn 2.56
Os2 0.5000 0.5000 0.7348  2 Be 2.36, 2 Mn 2.56

---

The following is a GGA-PBE calculation of a geometry-optimized MnBe2Os2 structure, from Alexandria.

* magnetization: 0.01 Bohr magnetons per cell
* DFT formation energy: -0.0762 eV/atom
* E: -0.58009 Ry/atom
* energy above the most stable polymorph in this dataset: 0.000 eV/atom

Lattice parameters (Å, degrees): 6.0519 6.0519 2.9474 90.00 90.00 90.00
With the nearest neighbours (Å) after each atom.
Atoms (fractional coordinates):
Mn1 0.0000 0.0000 0.0000  4 Be 2.39
Mn2 0.5000 0.5000 0.0000  4 Be 2.39
Be1 0.1248 0.3752 0.0000  1 Be 2.14, 6 Os 2.29-2.34, 2 Mn 2.39
Be2 0.3752 0.8752 0.0000  1 Be 2.14, 6 Os 2.29-2.34, 2 Mn 2.39
Be3 0.6248 0.1248 0.0000  1 Be 2.14, 6 Os 2.29-2.34, 2 Mn 2.39
Be4 0.8752 0.6248 0.0000  1 Be 2.14, 6 Os 2.29-2.34, 2 Mn 2.39
Os1 0.1710 0.6710 0.5000  6 Be 2.29-2.34
Os2 0.3290 0.1710 0.5000  6 Be 2.29-2.34
Os3 0.6710 0.8290 0.5000  6 Be 2.29-2.34
Os4 0.8290 0.3290 0.5000  6 Be 2.29-2.34

---

The following is a GGA-PBE calculation of a geometry-optimized MnBeOs2 structure, from Alexandria.

* magnetization: 2.26 Bohr magnetons per cell
* DFT formation energy: 0.0505 eV/atom
* E: -0.64593 Ry/atom

Lattice parameters (Å, degrees): 4.1338 4.1338 2.8818 90.00 90.00 90.00
With the nearest neighbours (Å) after each atom.
Atoms (fractional coordinates):
Mn1 0.0000 0.0000 0.0000  8 Os 2.52
Be1 0.5000 0.5000 0.0000  8 Os 2.52
Os1 0.0000 0.5000 0.5000  4 Mn 2.52, 4 Be 2.52
Os2 0.5000 0.0000 0.5000  4 Mn 2.52, 4 Be 2.52

---

The following is a GGA-PBE calculation of a geometry-optimized Mn2BeOs structure, from Alexandria.

* magnetization: 0.95 Bohr magnetons per cell
* DFT formation energy: 0.1520 eV/atom
* E: -0.60062 Ry/atom

Lattice parameters (Å, degrees): 7.9461 7.9461 7.9461 18.95 18.95 18.95
With the nearest neighbours (Å) after each atom.
Atoms (fractional coordinates):
Mn1 0.0000 0.0000 0.0000  3 Be 2.37, 3 Os 2.56, 6 Mn 2.62
Mn2 0.1757 0.1757 0.1757  3 Be 2.39, 3 Os 2.54, 6 Mn 2.62
Be1 0.5884 0.5884 0.5884  6 Mn 2.37-2.39, 6 Be 2.62
Os1 0.4215 0.4215 0.4215  6 Mn 2.54-2.56, 6 Os 2.62

---

The following is a GGA-PBE calculation of a geometry-optimized MnBeOs structure, from Alexandria.

* magnetization: 0.61 Bohr magnetons per cell
* DFT formation energy: 0.3073 eV/atom
* E: -0.56848 Ry/atom
* energy above the most stable polymorph in this dataset: 0.479 eV/atom

Lattice parameters (Å, degrees): 3.8136 3.8136 3.8136 60.00 60.00 60.00
With the nearest neighbours (Å) after each atom.
Atoms (fractional coordinates):
Mn1 0.0000 0.0000 0.0000  4 Be 2.34, 4 Os 2.34
Be1 0.7500 0.7500 0.7500  4 Mn 2.34
Os1 0.2500 0.2500 0.2500  4 Mn 2.34

---

The following is a GGA-PBE calculation of a geometry-optimized Mn2BeOs structure, from Alexandria.

* magnetization: 0.42 Bohr magnetons per cell
* DFT formation energy: -0.0345 eV/atom
* E: -0.61432 Ry/atom

Lattice parameters (Å, degrees): 2.7811 2.7811 5.6241 90.00 90.00 90.00
With the nearest neighbours (Å) after each atom.
Atoms (fractional coordinates):
Mn1 0.0000 0.0000 0.0000  4 Be 2.33, 4 Mn 2.35
Mn2 0.5000 0.5000 0.2303  4 Mn 2.35, 1 Be 2.54, 4 Os 2.60
Be1 0.5000 0.5000 0.7791  5 Mn 2.33-2.54, 4 Os 2.41
Os1 0.0000 0.0000 0.5326  4 Be 2.41, 5 Mn 2.60-2.63

---

In the order shown, the computed DOS at the Fermi energy values come out to 3.77 6.04 4.40 3.21 1.78 3.86 states/eV/cell.